Entry 1:
Compound: CsSbAs3
Source: Alexandria
Functional: PBE
Structure: relaxed

Lattice parameters (Å, degrees): 5.6192 5.6192 5.6192 90.00 90.00 90.00
Positions (direct):
As 0.0000 0.0000 0.5000
Cs 0.0000 0.0000 0.0000
Sb 0.5000 0.5000 0.5000
As 0.5000 0.0000 0.0000
As 0.0000 0.5000 0.0000

E in eV/atom: -2.03
DOS at the Fermi energy in states/eV/cell: 4.800
Raw formation energy in eV/atom: 1.75
Magnetization in μB/f.u.: 0.0
Energy relative to the lowest polymorph listed for this composition in eV/atom: 1.331

Entry 2:
Compound: CsSb2As2Se6
Source: Alexandria
Functional: PBE
Structure: relaxed

Lattice parameters (Å, degrees): 10.0184 9.7702 7.9099 134.36 112.84 53.84
Positions (direct):
Sb 0.8830 0.3385 0.8325
Se 0.9376 0.6103 0.2855
As 0.0766 0.8196 0.7983
Se 0.3178 0.6536 0.9388
As 0.9234 0.1804 0.2017
Cs 0.5000 0.0000 0.5000
Se 0.8403 0.0192 0.2520
Sb 0.1170 0.6615 0.1675
Se 0.6822 0.3464 0.0612
Se 0.0624 0.3897 0.7145
Se 0.1597 0.9808 0.7480

E in eV/atom: -3.89
DOS at the Fermi energy in states/eV/cell: 2.553
Raw formation energy in eV/atom: -0.32
Magnetization in μB/f.u.: 0.0

Entry 3:
Compound: Cs2SbAs2Se6
Source: Alexandria
Functional: PBE
Structure: relaxed

Lattice parameters (Å, degrees): 7.6863 7.6900 8.7228 115.34 90.00 119.98
Positions (direct):
Se 0.7421 0.4841 0.7432
Sb 0.5000 0.0000 0.5000
Se 0.2579 0.5159 0.2568
As 0.9406 0.8812 0.8155
Se 0.7237 0.9735 0.2405
Se 0.7502 0.0265 0.7595
Se 0.2763 0.0265 0.7595
Cs 0.2666 0.5331 0.7879
Se 0.2498 0.9735 0.2405
Cs 0.7334 0.4669 0.2121
As 0.0594 0.1188 0.1845

E in eV/atom: -3.73
DOS at the Fermi energy in states/eV/cell: 1.845
Raw formation energy in eV/atom: -0.46
Magnetization in μB/f.u.: 0.0

Entry 4:
Compound: CsSbAsSe2
Source: Alexandria
Functional: PBE
Structure: relaxed

Lattice parameters (Å, degrees): 5.5722 5.5722 5.4442 90.00 90.00 90.00
Each line ends with the local moment (μB).
Positions (direct):
As 0.0000 0.0000 0.5000  0.48
Cs 0.5000 0.5000 0.5000  0.01
Sb 0.0000 0.0000 0.0000  -0.01
Se 0.5000 0.0000 0.0000  0.09
Se 0.0000 0.5000 0.0000  0.09

E in eV/atom: -3.38
DOS at the Fermi energy in states/eV/cell: 4.486
Raw formation energy in eV/atom: -0.07
Magnetization in μB/f.u.: 1.3
Energy relative to the lowest polymorph listed for this composition in eV/atom: 0.000

Entry 5:
Compound: CsSbAsSe2
Source: Alexandria
Functional: PBE
Structure: relaxed

Lattice parameters (Å, degrees): 5.5517 5.5517 6.0070 90.00 90.00 90.00
Each line ends with the local moment (μB).
Positions (direct):
Sb 0.5000 0.5000 0.5000  -0.35
As 0.0000 0.0000 0.5000  0.25
Se 0.0000 0.5000 0.0000  0.04
Se 0.5000 0.0000 0.0000  0.04
Cs 0.0000 0.0000 0.0000  0.00

E in eV/atom: -1.93
DOS at the Fermi energy in states/eV/cell: 5.418
Raw formation energy in eV/atom: 1.39
Magnetization in μB/f.u.: 0.2
Energy relative to the lowest polymorph listed for this composition in eV/atom: 1.454

Entry 6:
Compound: CsSnSb2As
Source: Alexandria
Functional: PBE
Structure: relaxed

Lattice parameters (Å, degrees): 5.7107 5.5280 5.7107 90.00 90.00 90.00
Positions (direct):
As 0.0000 0.0000 0.0000
Sn 0.0000 0.5000 0.0000
Cs 0.5000 0.5000 0.5000
Sb 0.0000 0.0000 0.5000
Sb 0.5000 0.0000 0.0000

E in eV/atom: -3.32
DOS at the Fermi energy in states/eV/cell: 3.077
Raw formation energy in eV/atom: 0.23
Magnetization in μB/f.u.: 0.0

Entry 7:
Compound: CsSn2SbAs
Source: Alexandria
Functional: PBE
Structure: relaxed

Lattice parameters (Å, degrees): 4.4040 8.2938 11.4795 108.89 90.00 90.00
Positions (direct):
Sn 0.7500 0.5605 0.6450
Sn 0.2500 0.4395 0.3550
As 0.2500 0.3223 0.0758
Sb 0.2500 0.3112 0.5844
Sn 0.2500 0.4636 0.8711
Cs 0.7500 0.0537 0.7816
Sb 0.7500 0.6888 0.4156
Cs 0.2500 0.9463 0.2184
Sn 0.7500 0.5364 0.1289
As 0.7500 0.6777 0.9242

E in eV/atom: -3.74
DOS at the Fermi energy in states/eV/cell: 1.844
Raw formation energy in eV/atom: -0.22
Magnetization in μB/f.u.: 0.0

Entry 8:
Compound: CsSr2SbAs
Source: Alexandria
Functional: PBE
Structure: relaxed

Lattice parameters (Å, degrees): 5.9942 6.2204 5.9942 90.00 90.00 90.00
Positions (direct):
As 0.0000 0.0000 0.0000
Sr 0.0000 0.0000 0.5000
Sr 0.5000 0.0000 0.0000
Sb 0.5000 0.5000 0.5000
Cs 0.0000 0.5000 0.0000

E in eV/atom: -3.03
DOS at the Fermi energy in states/eV/cell: 5.285
Raw formation energy in eV/atom: -0.43
Magnetization in μB/f.u.: 0.1

Entry 9:
Compound: Cs2SbTe4As
Source: Alexandria
Functional: PBE
Structure: relaxed

Lattice parameters (Å, degrees): 9.5840 9.5841 9.7149 120.45 120.45 90.03
Positions (direct):
As 0.5000 0.5000 0.5000
Te 0.8134 0.2579 0.0357
Cs 0.5000 0.0000 0.0000
Cs 0.0000 0.0000 0.5000
Cs 0.5000 0.5000 0.0000
As 0.0000 0.0000 0.0000
Te 0.2330 0.2670 0.4473
Te 0.7670 0.7330 0.5527
Te 0.1866 0.7420 0.9643
Te 0.7579 0.3134 0.5357
Sb 0.0000 0.5000 0.0000
Cs 0.5000 0.0000 0.5000
Sb 0.0000 0.5000 0.5000
Te 0.2421 0.6866 0.4643
Te 0.7670 0.7330 0.9473
Te 0.2330 0.2670 0.0527

E in eV/atom: -3.25
Raw formation energy in eV/atom: -0.37
Magnetization in μB/f.u.: 0.0

Entry 10:
Compound: CsSbTe2As
Source: Alexandria
Functional: PBE
Structure: relaxed

Lattice parameters (Å, degrees): 6.3136 6.3136 6.3563 90.00 90.00 90.00
Each line ends with the local moment (μB).
Positions (direct):
Te 0.5000 0.0000 0.0000  -0.28
Cs 0.0000 0.0000 0.0000  -0.07
Sb 0.0000 0.0000 0.5000  0.16
As 0.5000 0.5000 0.5000  0.19
Te 0.0000 0.5000 0.0000  -0.28

E in eV/atom: -1.58
DOS at the Fermi energy in states/eV/cell: 9.844
Raw formation energy in eV/atom: 1.60
Magnetization in μB/f.u.: 0.3
Energy relative to the lowest polymorph listed for this composition in eV/atom: 1.607

Entry 11:
Compound: CsSbTe2As
Source: Alexandria
Functional: PBE
Structure: relaxed

Lattice parameters (Å, degrees): 5.8366 5.8366 5.4081 90.00 90.00 90.00
Each line ends with the local moment (μB).
Positions (direct):
Cs 0.5000 0.5000 0.5000  0.01
Te 0.0000 0.5000 0.0000  0.03
As 0.0000 0.0000 0.0000  -0.01
Te 0.5000 0.0000 0.0000  0.03
Sb 0.0000 0.0000 0.5000  0.19

E in eV/atom: -3.19
DOS at the Fermi energy in states/eV/cell: 4.375
Raw formation energy in eV/atom: 0.00
Magnetization in μB/f.u.: 0.6
Energy relative to the lowest polymorph listed for this composition in eV/atom: 0.000

Entry 12:
Compound: CsZnSbAs
Source: Alexandria
Functional: PBE
Structure: relaxed

Lattice parameters (Å, degrees): 4.2286 4.2286 14.4816 90.00 90.00 90.00
Positions (direct):
Zn 0.7500 0.2500 0.0000
Zn 0.2500 0.7500 0.0000
As 0.2500 0.2500 0.1047
As 0.7500 0.7500 0.8953
Cs 0.2500 0.2500 0.7480
Sb 0.7500 0.2500 0.5000
Cs 0.7500 0.7500 0.2520
Sb 0.2500 0.7500 0.5000

E in eV/atom: -3.02
DOS at the Fermi energy in states/eV/cell: 6.991
Raw formation energy in eV/atom: -0.30
Magnetization in μB/f.u.: 0.0

Entry 13:
Compound: CsSc3As
Source: Alexandria
Functional: PBE
Structure: relaxed

Lattice parameters (Å, degrees): 5.2156 5.2156 5.2156 90.00 90.00 90.00
Positions (direct):
Sc 0.0000 0.5000 0.0000
Sc 0.0000 0.0000 0.5000
Sc 0.5000 0.0000 0.0000
As 0.5000 0.5000 0.5000
Cs 0.0000 0.0000 0.0000

E in eV/atom: -3.46
Energy of formation from the pure elements in kJ per mole of atoms: 139.0
DOS at the Fermi energy in states/eV/cell: 5.957
Magnetization in μB/f.u.: 0.0
Energy relative to the lowest polymorph listed for this composition in eV/atom: 1.281

Entry 14:
Compound: CsSc3As
Source: Alexandria
Functional: PBE
Structure: relaxed

Lattice parameters (Å, degrees): 5.3582 5.3582 5.3582 90.00 90.00 90.00
Each line ends with the local moment (μB).
Positions (direct):
Sc 0.0000 0.5000 0.0000  0.48
Sc 0.5000 0.0000 0.0000  0.43
Cs 0.5000 0.5000 0.5000  0.09
Sc 0.0000 0.0000 0.5000  0.74
As 0.0000 0.0000 0.0000  -0.01

E in eV/atom: -4.74
Energy of formation from the pure elements in kJ per mole of atoms: 15.4
DOS at the Fermi energy in states/eV/cell: 7.506
Magnetization in μB/f.u.: 3.3
Energy relative to the lowest polymorph listed for this composition in eV/atom: 0.000

Entry 15:
Compound: CsScAs2
Source: Alexandria
Functional: PBE
Structure: relaxed

Lattice parameters (Å, degrees): 5.3043 5.3043 5.3043 60.00 60.00 60.00
Positions (direct):
Sc 0.0000 0.0000 0.0000
As 0.2500 0.2500 0.2500
As 0.7500 0.7500 0.7500
Cs 0.5000 0.5000 0.5000

E in eV/atom: -4.08
Energy of formation from the pure elements in kJ per mole of atoms: 3.8
DOS at the Fermi energy in states/eV/cell: 5.532
Magnetization in μB/f.u.: 0.0

Entry 16:
Compound: CsSc2As
Source: Alexandria
Functional: PBE
Structure: relaxed

Lattice parameters (Å, degrees): 10.6876 10.6876 10.6876 20.34 20.34 20.34
Positions (direct):
Sc 0.1177 0.1177 0.1177
Sc 0.8823 0.8823 0.8823
Cs 0.0000 0.0000 0.0000
As 0.5000 0.5000 0.5000

E in eV/atom: -4.82
Energy of formation from the pure elements in kJ per mole of atoms: -26.7
DOS at the Fermi energy in states/eV/cell: 4.008
Magnetization in μB/f.u.: 0.0

Entry 17:
Compound: CsSc2As
Source: Alexandria
Functional: PBE
Structure: relaxed

Lattice parameters (Å, degrees): 12.3070 12.3070 12.3070 16.19 16.19 16.19
Positions (direct):
Sc 0.9286 0.9286 0.9286
As 0.0000 0.0000 0.0000
Sc 0.0714 0.0714 0.0714
Cs 0.5000 0.5000 0.5000

E in eV/atom: -4.04
Energy of formation from the pure elements in kJ per mole of atoms: 48.8
DOS at the Fermi energy in states/eV/cell: 6.397
Magnetization in μB/f.u.: 0.0

Entry 18:
Compound: CsSc2As2
Source: Alexandria
Functional: PBE
Structure: relaxed

Lattice parameters (Å, degrees): 5.2300 5.2300 7.1984 68.70 68.70 90.00
Each line ends with the local moment (μB).
Positions (direct):
Cs 0.0000 0.0000 0.0000  0.03
As 0.7500 0.2500 0.5000  -0.01
Sc 0.7064 0.7064 0.5872  0.19
As 0.2500 0.7500 0.5000  -0.01
Sc 0.2936 0.2936 0.4128  0.19

E in eV/atom: -5.27
Energy of formation from the pure elements in kJ per mole of atoms: -68.5
DOS at the Fermi energy in states/eV/cell: 0.206
Magnetization in μB/f.u.: 1.0

Entry 19:
Compound: CsScAsSe2
Source: Alexandria
Functional: PBE
Structure: relaxed

Lattice parameters (Å, degrees): 5.5304 5.5304 5.7363 90.00 90.00 90.00
Positions (direct):
Cs 0.0000 0.0000 0.0000
Se 0.0000 0.5000 0.0000
Se 0.5000 0.0000 0.0000
Sc 0.5000 0.5000 0.5000
As 0.0000 0.0000 0.5000

E in eV/atom: -2.71
DOS at the Fermi energy in states/eV/cell: 3.703
Raw formation energy in eV/atom: 1.05
Magnetization in μB/f.u.: 0.0

Entry 20:
Compound: CsAs6Se8
Source: Alexandria
Functional: PBE
Structure: relaxed

Lattice parameters (Å, degrees): 8.1317 8.1317 8.1317 91.58 91.58 91.58
Positions (direct):
Se 0.7092 0.7092 0.7092
Se 0.9061 0.3121 0.5726
Se 0.6879 0.4274 0.0939
As 0.5500 0.2050 0.4486
As 0.7950 0.5514 0.4500
Se 0.5726 0.9061 0.3121
As 0.2050 0.4486 0.5500
As 0.5514 0.4500 0.7950
Se 0.3121 0.5726 0.9061
Se 0.4274 0.0939 0.6879
As 0.4500 0.7950 0.5514
Se 0.2908 0.2908 0.2908
Cs 0.0000 0.0000 0.0000
Se 0.0939 0.6879 0.4274
As 0.4486 0.5500 0.2050

E in eV/atom: -3.90
DOS at the Fermi energy in states/eV/cell: 4.181
Raw formation energy in eV/atom: -0.12
Magnetization in μB/f.u.: 0.0